[1]
Entry from Alexandria: a relaxed FePIr crystal (PBEsol).

```
FePIr
1.0
0.000 2.682 2.682
2.682 0.000 2.682
2.682 2.682 0.000
Fe P Ir
1 1 1
Direct
0.000 0.000 0.000 Fe
0.250 0.250 0.250 P
0.500 0.500 0.500 Ir
```

Output
space group = F-43m, No. 216
V = 39 Å³/f.u.
formation energy = -0.404 eV per atom

***

[2]
Entry from Alexandria: a relaxed Fe2PIr2 crystal (PBEsol).

```
Fe2PIr2
1.0
-1.560 1.560 6.696
1.560 -1.560 6.696
1.560 1.560 -6.696
Fe P Ir
2 1 2
Direct
0.250 0.750 0.500 Fe
0.750 0.250 0.500 Fe
0.000 0.000 0.000 P
0.401 0.401 0.000 Ir
0.599 0.599 0.000 Ir
```

Output
space group = I4/mmm, No. 139
V = 65 Å³/f.u.
formation energy = 0.271 eV per atom

***

[3]
Entry from Alexandria: a relaxed FePIr crystal (PBEsol).

```
FePIr
1.0
3.910 0.000 0.000
-1.955 3.386 0.000
0.000 0.000 2.813
Fe P Ir
1 1 1
Direct
0.000 0.000 0.000 Fe
0.333 0.667 0.270 P
0.667 0.333 0.486 Ir
```

Output
space group = P3m1, No. 156
V = 37 Å³/f.u.
formation energy = -0.184 eV per atom

***

- Which value of formation energy does entry 1 give?
  -0.404 eV per atom

***

- Which of these has the highest formation energy?
  Fe2PIr2

***

- Look up the V of the third one.
  37 Å³/f.u.